# 1
Density functional theory data (PBE) for an optimized crystal structure of La2TcW.

Computed properties:
Energy = -29.543 eV/f.u.
Magnetic moment = 0.001 μB per formula unit
Space group = R-3m
Offset from the most stable computed form = 71.1 kJ/mol of atoms

The structure in POSCAR format:
```
La2TcW
1.0
9.8722 0.0238 0.0140
9.3118 3.2789 0.0140
9.3118 1.6031 2.8603
La W Tc
2 1 1
Direct
0.9944 0.9944 0.9944
0.5056 0.5056 0.5056
0.7500 0.7500 0.7500
0.2500 0.2500 0.2500
```



# 2
Density functional theory data (PBE) for an optimized crystal structure of LaTc2W.

Computed properties:
Energy = -36.798 eV/f.u.
Magnetic moment = 0.000 μB per formula unit
Space group = Cm

The structure in POSCAR format:
```
LaTc2W
1.0
5.2025 0.0003 0.0066
4.2396 3.0153 0.0066
1.4080 0.4497 5.1866
La W Tc
1 1 2
Direct
0.7454 0.7454 0.7588
0.5356 0.5356 0.4009
0.2489 0.2489 0.2476
0.9701 0.9701 0.0927
```



# 3
Density functional theory data (PBE) for an optimized crystal structure of LaTc2W.

Computed properties:
Energy = -36.207 eV/f.u.
Magnetic moment = 0.000 μB per formula unit
Space group = R3m

The structure in POSCAR format:
```
LaTc2W
1.0
-3.9995 7.9479 -5.0232
-2.6656 6.6953 -7.2432
-5.3074 5.8443 -6.4863
Tc W La
2 1 1
Direct
0.2528 0.2528 0.2528
0.9879 0.9879 0.9879
0.5106 0.5106 0.5106
0.7487 0.7487 0.7487
```



# 4
Density functional theory data (PBE) for an optimized crystal structure of LaTc2W.

Computed properties:
Energy = -37.044 eV/f.u.
Magnetic moment = 0.000 μB per formula unit
Space group = C2/m

The structure in POSCAR format:
```
LaTc2W
1.0
4.4751 -0.0003 0.0010
3.3382 2.9804 0.0010
1.1398 0.4347 5.9961
W Tc La
1 2 1
Direct
0.2500 0.2500 0.2500
0.9802 0.9802 0.0687
0.5198 0.5198 0.4313
0.7500 0.7500 0.7500
```



# 5
Density functional theory data (PBE) for an optimized crystal structure of La2TcW.

Computed properties:
Energy = -31.795 eV/f.u.
Magnetic moment = 0.000 μB per formula unit
Space group = Pm
Offset from the most stable computed form = 16.8 kJ/mol of atoms

The structure in POSCAR format:
```
La2TcW
1.0
4.1072 0.0000 0.0000
0.0000 3.2417 0.0354
0.0000 2.1686 7.8546
W La Tc
1 2 1
Direct
0.5000 0.7379 0.6797
0.5000 0.3015 0.3262
0.0000 0.9674 0.9264
0.0000 0.4933 0.5676
```



# 6
Density functional theory data (PBE) for an optimized crystal structure of La2TcW.

Computed properties:
Energy = -29.828 eV/f.u.
Magnetic moment = 0.001 μB per formula unit
Space group = I4/mmm
Offset from the most stable computed form = 64.2 kJ/mol of atoms

The structure in POSCAR format:
```
La2TcW
1.0
-3.4183 -3.3596 1.2913
0.5735 -0.5361 -4.9013
4.2703 -0.7099 2.4289
W La Tc
1 2 1
Direct
0.7500 0.2500 0.5000
0.5000 0.5000 0.0000
0.0000 0.0000 0.0000
0.2500 0.7500 0.5000
```



# 7
Density functional theory data (PBE) for an optimized crystal structure of LaTcW2.

Computed properties:
Energy = -38.566 eV/f.u.
Magnetic moment = 0.000 μB per formula unit
Space group = Fm-3m
Offset from the most stable computed form = 26.6 kJ/mol of atoms

The structure in POSCAR format:
```
LaTcW2
1.0
0.6871 -2.5042 3.8823
-0.1411 2.0829 4.1782
-3.5624 -0.8304 2.9044
Tc W La
1 2 1
Direct
0.0000 0.0000 0.0000
0.7500 0.7500 0.7500
0.2500 0.2500 0.2500
0.5000 0.5000 0.5000
```



# 8
Density functional theory data (PBE) for an optimized crystal structure of LaY2Tc.

Computed properties:
Energy = -27.357 eV/f.u.
Magnetic moment = 0.000 μB per formula unit
Space group = P2/m
Offset from the most stable computed form = 29.7 kJ/mol of atoms

The structure in POSCAR format:
```
LaY2Tc
1.0
4.7490 0.0000 0.0000
0.0000 3.5576 -0.0019
0.0000 1.7391 6.2658
Tc Y La
1 2 1
Direct
0.5000 0.7500 0.7500
0.0000 0.5813 0.5353
0.0000 0.9187 0.9647
0.5000 0.2500 0.2500
```



Going through the records in order, we get formation energy values of 87.6; 43.8; 58.0; 37.8; 33.3; 80.7; 63.5; 20.8 kJ per mole of atoms.
Going through the records in order, we get N(E_F) values of 5.7; 4.0; 3.9; 3.3; 5.2; 6.3; 3.2; 4.9 states/eV/cell.